Entry 1:
# Nd4TeAs2S

A relaxed Nd4TeAs2S crystal (GGA-PBE, Alexandria via LeMat-Bulk).

Unit cell a=7.432 b=4.273 c=7.460 alpha=90.00 beta=109.26 gamma=90.00
Element x y z (fractional)
1 Nd 0.232 0.000 0.232
2 Nd 0.243 0.500 0.760
3 Nd 0.757 0.500 0.240
4 Nd 0.768 0.000 0.768
5 Te 0.500 0.500 0.500
6 As 0.000 0.500 0.000
7 As 0.500 0.000 0.000
8 S 0.000 0.000 0.500

Output
The raw formation energy is -1.63 eV per atom. The space-group type is P2/m. Its magnetic moment is 0.00 μB/atom. The total DFT energy (no corrections) comes out at -6.09 eV per atom.



Entry 2:
# Ho2TiBe3Pt4

A relaxed Ho2TiBe3Pt4 crystal (GGA-PBE, Alexandria via LeMat-Bulk).

Unit cell a=3.988 b=3.988 c=10.251 alpha=90.00 beta=90.00 gamma=90.00
Element x y z (fractional)
1 Ho 0.000 0.500 0.235
2 Ho 0.500 0.000 0.765
3 Ti 0.000 0.000 0.500
4 Be 0.000 0.500 0.882
5 Be 0.500 0.000 0.118
6 Be 0.500 0.500 0.500
7 Pt 0.000 0.000 0.000
8 Pt 0.000 0.500 0.652
9 Pt 0.500 0.000 0.348
10 Pt 0.500 0.500 0.000

Output
Its energy relative to the elements is -905 meV/atom. The space-group type is P-4m2. Its magnetic moment is 0.00 μB/atom. The total DFT energy (no corrections) comes out at -6.14 eV per atom.



Entry 3:
# Ba12Tl5Zn2

A relaxed Ba12Tl5Zn2 crystal (GGA-PBE, Alexandria via LeMat-Bulk).

Unit cell a=10.516 b=10.516 c=11.430 alpha=99.34 beta=99.34 gamma=48.35
Element x y z (fractional)
1 Ba 0.013 0.013 0.282
2 Ba 0.067 0.575 0.885
3 Ba 0.103 0.595 0.426
4 Ba 0.405 0.897 0.574
5 Ba 0.425 0.933 0.115
6 Ba 0.457 0.457 0.172
7 Ba 0.543 0.543 0.828
8 Ba 0.575 0.067 0.885
9 Ba 0.595 0.103 0.426
10 Ba 0.897 0.405 0.574
11 Ba 0.933 0.425 0.115
12 Ba 0.987 0.987 0.718
13 Tl 0.163 0.163 0.857
14 Tl 0.199 0.199 0.360
15 Tl 0.500 0.500 0.500
16 Tl 0.801 0.801 0.640
17 Tl 0.837 0.837 0.143
18 Zn 0.159 0.841 0.000
19 Zn 0.841 0.159 0.000

Output
Its energy relative to the elements is -162 meV/atom. The space-group type is C2/m. Its magnetic moment is 0.00 μB/atom. The total DFT energy (no corrections) comes out at -2.13 eV per atom.



Entry 4:
# Ba2SrSnRh

A relaxed Ba2SrSnRh crystal (GGA-PBE, Alexandria via LeMat-Bulk).

Unit cell a=5.835 b=5.835 c=5.777 alpha=90.00 beta=90.00 gamma=90.00
Element x y z (fractional)
1 Ba 0.000 0.500 0.000
2 Ba 0.500 0.000 0.000
3 Sr 0.000 0.000 0.500
4 Sn 0.500 0.500 0.500
5 Rh 0.000 0.000 0.000

Output
Its energy relative to the elements is -261 meV/atom. The relative energy among the computed polymorphs comes out at 0.26 kcal/mol of atoms. The space-group type is P4/mmm. Its magnetic moment is 0.00 μB/atom. The total DFT energy (no corrections) comes out at -3.64 eV per atom.



Entry 5:
# CaCu2W

A relaxed CaCu2W crystal (GGA-PBE, Alexandria via LeMat-Bulk).

Unit cell a=2.795 b=4.745 c=4.907 alpha=90.00 beta=90.00 gamma=90.00
Element x y z (fractional)
1 Ca 0.000 0.000 0.000
2 Cu 0.500 0.000 0.503
3 Cu 0.500 0.500 0.904
4 W 0.000 0.500 0.433

Output
Its energy relative to the elements is 460 meV/atom. The relative energy among the computed polymorphs comes out at 1.40 kcal/mol of atoms. The space-group type is Pmm2. Its magnetic moment is 0.08 μB/atom. The total DFT energy (no corrections) comes out at -5.33 eV per atom.



Entry 6:
# Al3C

A relaxed Al3C crystal (GGA-PBE, Alexandria via LeMat-Bulk).

Unit cell a=4.028 b=4.028 c=4.028 alpha=90.00 beta=90.00 gamma=90.00
Element x y z (fractional)
1 Al 0.000 0.000 0.500
2 Al 0.000 0.500 0.000
3 Al 0.500 0.000 0.000
4 C 0.000 0.000 0.000

Output
Its energy relative to the elements is 706 meV/atom. The relative energy among the computed polymorphs comes out at 15.70 kcal/mol of atoms. The space-group type is Pm-3m. Its magnetic moment is 0.00 μB/atom. The total DFT energy (no corrections) comes out at -4.41 eV per atom.



Entry 7:
# TbAl2Ga4

A relaxed TbAl2Ga4 crystal (GGA-PBE, Alexandria via LeMat-Bulk).

Unit cell a=10.451 b=10.451 c=10.451 alpha=22.87 beta=22.87 gamma=22.87
Element x y z (fractional)
1 Tb 0.000 0.000 0.000
2 Al 0.188 0.188 0.188
3 Al 0.812 0.812 0.812
4 Ga 0.100 0.100 0.100
5 Ga 0.273 0.273 0.273
6 Ga 0.727 0.727 0.727
7 Ga 0.900 0.900 0.900

Output
Its energy relative to the elements is -181 meV/atom. The relative energy among the computed polymorphs comes out at 0.00 kcal/mol of atoms. The space-group type is R-3m. Its magnetic moment is 0.00 μB/atom. The total DFT energy (no corrections) comes out at -3.64 eV per atom.



Entry 8:
# BeReW2

A relaxed BeReW2 crystal (GGA-PBE, Alexandria via LeMat-Bulk).

Unit cell a=3.315 b=4.165 c=4.166 alpha=90.00 beta=90.00 gamma=90.00
Element x y z (fractional)
1 Be 0.000 0.000 0.000
2 Re 0.500 0.500 0.000
3 W 0.000 0.500 0.500
4 W 0.500 0.000 0.500

Output
Its energy relative to the elements is 220 meV/atom. The space-group type is Pmmm. Its magnetic moment is 0.00 μB/atom. The total DFT energy (no corrections) comes out at -10.30 eV per atom.



Entry 9:
# Ac2SnPO8

A relaxed Ac2SnPO8 crystal (GGA-PBE, Alexandria via LeMat-Bulk).

Unit cell a=5.587 b=5.587 c=6.112 alpha=90.00 beta=90.00 gamma=120.00
Element x y z (fractional)
1 Ac 0.333 0.667 0.346
2 Ac 0.667 0.333 0.654
3 Sn 0.000 0.000 0.000
4 P 0.000 0.000 0.500
5 O 0.145 0.289 0.666
6 O 0.145 0.855 0.666
7 O 0.289 0.145 0.334
8 O 0.333 0.667 0.995
9 O 0.667 0.333 0.005
10 O 0.711 0.855 0.666
11 O 0.855 0.145 0.334
12 O 0.855 0.711 0.334

Output
The raw formation energy is -1.86 eV per atom. The space-group type is P-3m1. Its magnetic moment is 0.14 μB/atom. The total DFT energy (no corrections) comes out at -6.64 eV per atom.



Entry 10:
# TlOsRh3

A relaxed TlOsRh3 crystal (GGA-PBE, Alexandria via LeMat-Bulk).

Unit cell a=4.758 b=4.758 c=4.758 alpha=90.00 beta=90.00 gamma=90.00
Element x y z (fractional)
1 Tl 0.000 0.000 0.000
2 Os 0.500 0.500 0.500
3 Rh 0.000 0.500 0.500
4 Rh 0.500 0.000 0.500
5 Rh 0.500 0.500 0.000

Output
Its energy relative to the elements is 1076 meV/atom. The relative energy among the computed polymorphs comes out at 0.00 kcal/mol of atoms. The space-group type is Pm-3m. Its magnetic moment is 0.00 μB/atom. The total DFT energy (no corrections) comes out at -6.05 eV per atom.



Entry 11:
# MnRe3Se

A relaxed MnRe3Se crystal (GGA-PBE, Alexandria via LeMat-Bulk).

Unit cell a=4.463 b=4.463 c=4.463 alpha=90.00 beta=90.00 gamma=90.00
Element x y z (fractional)
1 Mn 0.000 0.000 0.000
2 Re 0.000 0.000 0.500
3 Re 0.000 0.500 0.000
4 Re 0.500 0.000 0.000
5 Se 0.500 0.500 0.500

Output
The relative energy among the computed polymorphs comes out at 1.43 kcal/mol of atoms. The raw formation energy is 1.74 eV per atom. The space-group type is Pm-3m. Its magnetic moment is 0.00 μB/atom. The total DFT energy (no corrections) comes out at -8.26 eV per atom.



Entry 12:
# Ca2SnTeRh

A relaxed Ca2SnTeRh crystal (GGA-PBE, Alexandria via LeMat-Bulk).

Unit cell a=5.474 b=5.474 c=4.989 alpha=90.00 beta=90.00 gamma=90.00
Element x y z (fractional)
1 Ca 0.000 0.500 0.000
2 Ca 0.500 0.000 0.000
3 Sn 0.000 0.000 0.500
4 Te 0.500 0.500 0.500
5 Rh 0.000 0.000 0.000

Output
The relative energy among the computed polymorphs comes out at 0.00 kcal/mol of atoms. The raw formation energy is -0.69 eV per atom. The space-group type is P4/mmm. Its magnetic moment is 0.00 μB/atom. The total DFT energy (no corrections) comes out at -4.39 eV per atom.



Entry 13:
# Ce2SbSe5

A relaxed Ce2SbSe5 crystal (GGA-PBE, Alexandria via LeMat-Bulk).

Unit cell a=7.526 b=7.526 c=13.928 alpha=90.00 beta=90.00 gamma=135.47
Element x y z (fractional)
1 Ce 0.149 0.851 0.564
2 Ce 0.149 0.851 0.936
3 Ce 0.851 0.149 0.064
4 Ce 0.851 0.149 0.436
5 Sb 0.190 0.810 0.250
6 Sb 0.810 0.190 0.750
7 Se 0.049 0.951 0.117
8 Se 0.049 0.951 0.383
9 Se 0.257 0.743 0.750
10 Se 0.314 0.686 0.069
11 Se 0.314 0.686 0.431
12 Se 0.686 0.314 0.569
13 Se 0.686 0.314 0.931
14 Se 0.743 0.257 0.250
15 Se 0.951 0.049 0.617
16 Se 0.951 0.049 0.883

Output
The relative energy among the computed polymorphs comes out at 1.51 kcal/mol of atoms. The raw formation energy is -1.19 eV per atom. The space-group type is Cmcm. Its magnetic moment is 0.13 μB/atom. The total DFT energy (no corrections) comes out at -5.37 eV per atom.



Entry 14:
# ScNbGa3

A relaxed ScNbGa3 crystal (GGA-PBE, Alexandria via LeMat-Bulk).

Unit cell a=4.912 b=4.912 c=4.912 alpha=90.00 beta=90.00 gamma=90.00
Element x y z (fractional)
1 Sc 0.000 0.000 0.000
2 Nb 0.500 0.500 0.500
3 Ga 0.000 0.500 0.500
4 Ga 0.500 0.000 0.500
5 Ga 0.500 0.500 0.000

Output
Its energy relative to the elements is 253 meV/atom. The relative energy among the computed polymorphs comes out at 8.94 kcal/mol of atoms. The space-group type is Pm-3m. Its magnetic moment is 0.00 μB/atom. The total DFT energy (no corrections) comes out at -4.84 eV per atom.



Entry 15:
# Tb3Pm6Y2Ho

A relaxed Tb3Pm6Y2Ho crystal (GGA-PBE, Alexandria via LeMat-Bulk).

Unit cell a=6.256 b=6.256 c=11.879 alpha=95.02 beta=95.02 gamma=119.99
Element x y z (fractional)
1 Tb 0.000 0.000 0.000
2 Tb 0.333 0.667 0.000
3 Tb 0.667 0.333 0.000
4 Pm 0.084 0.416 0.250
5 Pm 0.251 0.251 0.750
6 Pm 0.416 0.084 0.250
7 Pm 0.584 0.916 0.750
8 Pm 0.749 0.749 0.250
9 Pm 0.916 0.584 0.750
10 Y 0.167 0.833 0.500
11 Y 0.833 0.167 0.500
12 Ho 0.500 0.500 0.500

Output
Its energy relative to the elements is 11 meV/atom. The space-group type is C2/m. Its magnetic moment is 0.00 μB/atom. The total DFT energy (no corrections) comes out at -4.98 eV per atom.



Entry 16:
# Ta2CdAs2

A relaxed Ta2CdAs2 crystal (GGA-PBE, Alexandria via LeMat-Bulk).

Unit cell a=7.417 b=7.417 c=3.350 alpha=90.00 beta=90.00 gamma=90.00
Element x y z (fractional)
1 Ta 0.140 0.360 0.000
2 Ta 0.360 0.860 0.000
3 Ta 0.640 0.140 0.000
4 Ta 0.860 0.640 0.000
5 Cd 0.000 0.000 0.000
6 Cd 0.500 0.500 0.000
7 As 0.149 0.649 0.500
8 As 0.351 0.149 0.500
9 As 0.649 0.851 0.500
10 As 0.851 0.351 0.500

Output
Its energy relative to the elements is -128 meV/atom. The relative energy among the computed polymorphs comes out at 0.00 kcal/mol of atoms. The space-group type is P4/mbm. Its magnetic moment is 0.00 μB/atom. The total DFT energy (no corrections) comes out at -6.91 eV per atom.



Entry 17:
# SrH4NCl3

A relaxed SrH4NCl3 crystal (GGA-PBE, Alexandria via LeMat-Bulk).

Unit cell a=9.226 b=4.547 c=17.370 alpha=90.00 beta=90.00 gamma=90.00
Element x y z (fractional)
1 Sr 0.170 0.250 0.068
2 Sr 0.330 0.750 0.568
3 Sr 0.670 0.250 0.432
4 Sr 0.830 0.750 0.932
5 H 0.026 0.250 0.659
6 H 0.076 0.250 0.752
7 H 0.076 0.565 0.273
8 H 0.076 0.935 0.273
9 H 0.424 0.065 0.773
10 H 0.424 0.435 0.773
11 H 0.424 0.750 0.252
12 H 0.474 0.750 0.159
13 H 0.526 0.250 0.841
14 H 0.576 0.250 0.748
15 H 0.576 0.565 0.227
16 H 0.576 0.935 0.227
17 H 0.924 0.065 0.727
18 H 0.924 0.435 0.727
19 H 0.924 0.750 0.248
20 H 0.974 0.750 0.341
21 N 0.012 0.750 0.285
22 N 0.488 0.250 0.785
23 N 0.512 0.750 0.215
24 N 0.988 0.250 0.715
25 Cl 0.038 0.250 0.913
26 Cl 0.140 0.250 0.548
27 Cl 0.230 0.250 0.230
28 Cl 0.270 0.750 0.730
29 Cl 0.360 0.750 0.048
30 Cl 0.462 0.750 0.413
31 Cl 0.538 0.250 0.587
32 Cl 0.640 0.250 0.952
33 Cl 0.730 0.250 0.270
34 Cl 0.770 0.750 0.770
35 Cl 0.860 0.750 0.452
36 Cl 0.962 0.750 0.087

Output
The space-group type is Pnma. Its magnetic moment is 0.00 μB/atom. The total DFT energy (no corrections) comes out at -4.46 eV per atom.



Entry 18:
# KTl2OsRu

A relaxed KTl2OsRu crystal (GGA-PBE, Alexandria via LeMat-Bulk).

Unit cell a=5.334 b=5.334 c=4.810 alpha=90.00 beta=90.00 gamma=90.00
Element x y z (fractional)
1 K 0.000 0.000 0.000
2 Tl 0.000 0.500 0.500
3 Tl 0.500 0.000 0.500
4 Os 0.500 0.500 0.000
5 Ru 0.500 0.500 0.500

Output
Its energy relative to the elements is 803 meV/atom. The space-group type is P4/mmm. Its magnetic moment is 0.11 μB/atom. The total DFT energy (no corrections) comes out at -4.46 eV per atom.



Entry 19:
# TbVC

A relaxed TbVC crystal (GGA-PBE, Alexandria via LeMat-Bulk).

Unit cell a=6.969 b=6.969 c=4.086 alpha=90.00 beta=90.00 gamma=150.37
Element x y z (fractional)
1 Tb 0.168 0.832 0.750
2 Tb 0.832 0.168 0.250
3 V 0.500 0.500 0.000
4 V 0.500 0.500 0.500
5 C 0.359 0.641 0.750
6 C 0.641 0.359 0.250

Output
Its energy relative to the elements is 242 meV/atom. The relative energy among the computed polymorphs comes out at 2.98 kcal/mol of atoms. The space-group type is Cmcm. Its magnetic moment is 0.00 μB/atom. The total DFT energy (no corrections) comes out at -7.42 eV per atom.



Entry 20:
# EuDyTc4

A relaxed EuDyTc4 crystal (GGA-PBE, Alexandria via LeMat-Bulk).

Unit cell a=5.430 b=5.430 c=5.430 alpha=60.00 beta=60.00 gamma=60.00
Element x y z (fractional)
1 Eu 0.000 0.000 0.000
2 Dy 0.250 0.250 0.250
3 Tc 0.125 0.625 0.625
4 Tc 0.625 0.125 0.625
5 Tc 0.625 0.625 0.125
6 Tc 0.625 0.625 0.625

Output
Its energy relative to the elements is 54 meV/atom. The space-group type is F-43m. Its magnetic moment is 1.13 μB/atom. The total DFT energy (no corrections) comes out at -9.34 eV per atom.



Entry 21:
# TaBiCl3

A relaxed TaBiCl3 crystal (GGA-PBE, Alexandria via LeMat-Bulk).

Unit cell a=5.533 b=5.533 c=5.533 alpha=90.00 beta=90.00 gamma=90.00
Element x y z (fractional)
1 Ta 0.000 0.000 0.000
2 Bi 0.500 0.500 0.500
3 Cl 0.000 0.500 0.500
4 Cl 0.500 0.000 0.500
5 Cl 0.500 0.500 0.000

Output
The relative energy among the computed polymorphs comes out at 18.29 kcal/mol of atoms. The raw formation energy is 0.78 eV per atom. The space-group type is Pm-3m. Its magnetic moment is 0.89 μB/atom. The total DFT energy (no corrections) comes out at -3.48 eV per atom.



Entry 22:
# CeInSi2Ni5

A relaxed CeInSi2Ni5 crystal (GGA-PBE, Alexandria via LeMat-Bulk).

Unit cell a=3.705 b=3.705 c=10.860 alpha=90.00 beta=90.00 gamma=90.00
Element x y z (fractional)
1 Ce 0.000 0.000 0.000
2 In 0.000 0.000 0.500
3 Si 0.500 0.500 0.205
4 Si 0.500 0.500 0.795
5 Ni 0.000 0.500 0.321
6 Ni 0.000 0.500 0.679
7 Ni 0.500 0.000 0.321
8 Ni 0.500 0.000 0.679
9 Ni 0.500 0.500 0.000

Output
The raw formation energy is -0.25 eV per atom. The space-group type is P4/mmm. Its magnetic moment is 0.04 μB/atom. The total DFT energy (no corrections) comes out at -5.63 eV per atom.



Entry 23:
# CePmPaAl

A relaxed CePmPaAl crystal (GGA-PBE, Alexandria via LeMat-Bulk).

Unit cell a=5.273 b=5.273 c=5.273 alpha=60.00 beta=60.00 gamma=60.00
Element x y z (fractional)
1 Ce 0.000 0.000 0.000
2 Pm 0.500 0.500 0.500
3 Pa 0.750 0.750 0.750
4 Al 0.250 0.250 0.250

Output
Its energy relative to the elements is 154 meV/atom. The space-group type is F-43m. Its magnetic moment is 0.37 μB/atom. The total DFT energy (no corrections) comes out at -5.83 eV per atom.



Entry 24:
# LaTbGa2Au2

A relaxed LaTbGa2Au2 crystal (GGA-PBE, Alexandria via LeMat-Bulk).

Unit cell a=4.589 b=4.589 c=7.469 alpha=90.00 beta=90.00 gamma=120.00
Element x y z (fractional)
1 La 0.000 0.000 0.000
2 Tb 0.000 0.000 0.500
3 Ga 0.333 0.667 0.726
4 Ga 0.667 0.333 0.274
5 Au 0.333 0.667 0.277
6 Au 0.667 0.333 0.723

Output
Its energy relative to the elements is -794 meV/atom. The space-group type is P-3m1. Its magnetic moment is 0.00 μB/atom. The total DFT energy (no corrections) comes out at -4.49 eV per atom.